No. 1
Computed, not measured: PrNdZn6Ge3 after structural relaxation at the PBE level of DFT.

```
PrNdZn6Ge3
1.0
-2.960 -5.143 4.875
6.357 -1.685 -3.966
2.305 1.551 3.036
Zn Pr Ge Nd
6 1 3 1
Direct
0.956 0.623 0.500 Zn
0.667 0.044 0.500 Zn
0.667 0.522 0.000 Zn
0.855 0.333 0.000 Zn
0.478 0.145 0.000 Zn
0.377 0.333 0.500 Zn
0.333 0.667 0.000 Pr
0.048 0.333 0.500 Ge
0.667 0.715 0.500 Ge
0.285 0.952 0.500 Ge
0.000 0.000 0.000 Nd
```

Calculated values
Uncorrected energy ... -3.24 eV per atom

---

No. 2
Computed, not measured: PrNdZn2Ge2 after structural relaxation at the PBE level of DFT.

```
PrNdZn2Ge2
1.0
-3.763 -0.387 -2.044
3.674 -0.038 -2.234
0.815 -16.487 1.621
Ge Zn Nd Pr
4 4 2 2
Direct
0.333 0.667 0.884 Ge
0.667 0.333 0.116 Ge
0.333 0.667 0.616 Ge
0.667 0.333 0.384 Ge
0.333 0.667 0.358 Zn
0.333 0.667 0.142 Zn
0.667 0.333 0.858 Zn
0.667 0.333 0.642 Zn
0.000 0.000 0.750 Nd
0.000 0.000 0.250 Nd
0.000 0.000 0.500 Pr
0.000 0.000 0.000 Pr
```

Calculated values
Energy above the most stable polymorph in this dataset ... 0 meV/atom